DFT (GGA-PBE) results for a relaxed Cs6SeBr2O crystal.

a b c (Å): 8.5130 12.5846 9.7789
angles (deg): 90.00 90.00 90.00
Sites, in units of the cell vectors:
1 Cs 0.0144 0.2500 0.0293
2 Cs 0.0176 0.7500 0.3871
3 Cs 0.2500 0.0173 0.7966
4 Cs 0.2500 0.4827 0.7966
5 Cs 0.4824 0.7500 0.3871
6 Cs 0.4856 0.2500 0.0293
7 Cs 0.5144 0.7500 0.9707
8 Cs 0.5176 0.2500 0.6129
9 Cs 0.7500 0.5173 0.2034
10 Cs 0.7500 0.9827 0.2034
11 Cs 0.9824 0.2500 0.6129
12 Cs 0.9856 0.7500 0.9707
13 Se 0.2500 0.7500 0.6870
14 Se 0.7500 0.2500 0.3130
15 Br 0.2500 0.5534 0.1585
16 Br 0.2500 0.9466 0.1585
17 Br 0.7500 0.0534 0.8415
18 Br 0.7500 0.4466 0.8415
19 O 0.2500 0.2500 0.7929
20 O 0.7500 0.7500 0.2071

The calculation puts the raw total energy at -2.943 eV per atom. As for the symmetry: Pmmn (59). The formation energy without anion corrections is -1252 meV per atom.